First-principles (PBE) data for a relaxed structure of Al2Pt13, as listed in Alexandria via LeMat-Bulk.

Lattice parameters (Å, degrees): 5.5881 6.8772 7.0579 64.91 76.61 83.21
Space group P-1 (No. 2)
One atom of each set of equivalent atoms:
Al 0.1589 0.1299 0.1795 (multiplicity 2)
Pt 0.0000 0.5000 0.0000 (multiplicity 1)
Pt 0.0110 0.1979 0.8307 (multiplicity 2)
Pt 0.0762 0.6331 0.5788 (multiplicity 2)
Pt 0.2471 0.0014 0.5567 (multiplicity 2)
Pt 0.4143 0.7103 0.9411 (multiplicity 2)
Pt 0.4275 0.4180 0.3723 (multiplicity 2)
Pt 0.4933 0.8465 0.2277 (multiplicity 2)

Calculated values
- ΔH_f (0 K) (eV/atom) = -0.23